Computed, not measured: an optimized crystal structure of HfV2AsO at the PBE with a Hubbard U level of DFT.

```
data_HfV2AsO
_cell_length_a 4.691
_cell_length_b 4.691
_cell_length_c 5.043
_cell_angle_alpha 90.00
_cell_angle_beta 90.00
_cell_angle_gamma 90.00
_space_group_name_H-M_alt 'P 4/m m m'
_space_group_IT_number 123
_space_group_name_Hall '-P 4 2'
loop_
_atom_site_label
_atom_site_fract_x
_atom_site_fract_y
_atom_site_fract_z
Hf1 0.000 0.000 0.000
V1 0.000 0.500 0.500
As1 0.000 0.000 0.500
O1 0.500 0.500 0.000
```

Values from the calculation:
Its magnetization is 6.1 μB per cell. The total energy comes out at -28.8 eV/f.u.